Record 1
VASP calculation (GGA-PBE) on crystalline KLi6Pb6 at its relaxed geometry.

As for the uncorrected energy: -2.904 eV/atom. The calculation puts the energy relative to the elements at -0.2252 eV per atom.

It has space group Immm (No. 71), with a = 6.1308 Å, b = 9.9856 Å, c = 10.4018 Å, α = 90.00°, β = 90.00° and γ = 90.00°. Symmetry generates all atoms from K at (0.0000, 0.0000, 0.0000), Li at (0.0000, 0.2571, 0.5000), Li at (0.2500, 0.2500, 0.2500), Pb at (0.0000, 0.0000, 0.3437), Pb at (0.0000, 0.3505, 0.0000) and Pb at (0.0000, 0.5000, 0.3117).

---

Record 2
VASP calculation (GGA-PBE) on crystalline PmGdGePb at its relaxed geometry.

As for the uncorrected energy: -7.251 eV/atom. The calculation puts the energy relative to the elements at -0.4614 eV per atom.

It has space group F-43m (No. 216), with a = 7.5782 Å, b = 7.5782 Å, c = 7.5782 Å, α = 90.00°, β = 90.00° and γ = 90.00°. Symmetry generates all atoms from Pm at (0.0000, 0.0000, 0.0000), Gd at (0.0000, 0.0000, 0.5000), Ge at (0.2500, 0.2500, 0.2500) and Pb at (0.2500, 0.2500, 0.7500).